1.
{"formula": "LiAg3Te3S8", "functional": "PBE-GGA", "state": "optimized geometry", "cell": [[-0.921, -4.083, -6.415], [6.943, 0.634, 3.173], [-5.423, -4.212, 3.460]], "species": ["Li", "Ag", "Ag", "Ag", "Te", "Te", "Te", "S", "S", "S", "S", "S", "S", "S", "S"], "frac_coords": [[0.000, 0.000, 0.500], [0.000, 0.000, 0.000], [0.000, 0.500, 0.000], [0.500, 0.500, 0.000], [0.500, 0.000, 0.500], [0.500, 0.500, 0.500], [0.000, 0.500, 0.500], [0.247, 0.495, 0.242], [0.753, 0.505, 0.758], [0.757, 0.513, 0.262], [0.243, 0.487, 0.738], [0.757, 0.005, 0.262], [0.243, 0.995, 0.738], [0.248, 0.005, 0.262], [0.752, 0.995, 0.738]], "space_group": "R-3m (166)", "formation_energy_uncorrected_ev_per_atom": -0.04}

---

2.
{"formula": "LiAg4Te3S8", "functional": "PBE-GGA", "state": "optimized geometry", "cell": [[-7.358, 2.054, 1.624], [-0.831, -6.363, 4.283], [5.845, 4.975, 1.408]], "species": ["Li", "Ag", "Ag", "Ag", "Ag", "Te", "Te", "Te", "S", "S", "S", "S", "S", "S", "S", "S"], "frac_coords": [[0.000, 0.500, 0.000], [0.500, 0.000, 0.000], [0.500, 0.000, 0.500], [0.000, 0.000, 0.000], [0.000, 0.000, 0.500], [0.500, 0.500, 0.000], [0.500, 0.500, 0.500], [0.000, 0.500, 0.500], [0.245, 0.739, 0.993], [0.246, 0.738, 0.493], [0.248, 0.238, 0.496], [0.748, 0.739, 0.993], [0.252, 0.261, 0.007], [0.752, 0.762, 0.504], [0.754, 0.262, 0.507], [0.755, 0.261, 0.007]], "space_group": "C2/m (12)", "formation_energy_uncorrected_ev_per_atom": -0.05}

---

3.
{"formula": "LiAg2TeS4", "functional": "PBE-GGA", "state": "optimized geometry", "cell": [[7.716, -0.189, 0.000], [-0.194, 7.716, 0.000], [-3.724, -3.726, 5.320]], "species": ["Li", "Li", "Ag", "Ag", "Ag", "Ag", "Te", "Te", "S", "S", "S", "S", "S", "S", "S", "S"], "frac_coords": [[0.000, 0.500, 0.000], [0.000, 0.500, 0.500], [0.500, 0.000, 0.000], [0.500, 0.000, 0.500], [0.000, 0.000, 0.500], [0.500, 0.500, 0.000], [0.500, 0.500, 0.500], [0.000, 0.000, 0.000], [0.257, 0.777, 0.017], [0.723, 0.243, 0.483], [0.277, 0.757, 0.517], [0.743, 0.223, 0.983], [0.774, 0.726, 0.004], [0.774, 0.726, 0.496], [0.226, 0.274, 0.504], [0.226, 0.274, 0.996]], "space_group": "Imma (74)", "formation_energy_uncorrected_ev_per_atom": -0.18}

---

Please write out number 3 again, unchanged.
{"formula": "LiAg2TeS4", "functional": "PBE-GGA", "state": "optimized geometry", "cell": [[7.716, -0.189, 0.000], [-0.194, 7.716, 0.000], [-3.724, -3.726, 5.320]], "species": ["Li", "Li", "Ag", "Ag", "Ag", "Ag", "Te", "Te", "S", "S", "S", "S", "S", "S", "S", "S"], "frac_coords": [[0.000, 0.500, 0.000], [0.000, 0.500, 0.500], [0.500, 0.000, 0.000], [0.500, 0.000, 0.500], [0.000, 0.000, 0.500], [0.500, 0.500, 0.000], [0.500, 0.500, 0.500], [0.000, 0.000, 0.000], [0.257, 0.777, 0.017], [0.723, 0.243, 0.483], [0.277, 0.757, 0.517], [0.743, 0.223, 0.983], [0.774, 0.726, 0.004], [0.774, 0.726, 0.496], [0.226, 0.274, 0.504], [0.226, 0.274, 0.996]], "space_group": "Imma (74)", "formation_energy_uncorrected_ev_per_atom": -0.18}